Entry 1:
PrZr2TiO8 | PBE-GGA | relaxed

abc: 4.968 6.703 4.968
angles: 90.00 92.25 90.00
Atoms (fractional coordinates):
Pr 0.000 0.000 0.000
Zr 0.500 0.253 0.500
Zr 0.500 0.747 0.500
Ti 0.000 0.500 0.000
O 0.199 0.292 0.198
O 0.199 0.708 0.198
O 0.293 0.500 0.706
O 0.323 0.000 0.675
O 0.677 0.000 0.325
O 0.707 0.500 0.294
O 0.801 0.292 0.802
O 0.801 0.708 0.802

Output
D(E_F) (states/eV per cell): 4.809
Final energy (eV/atom): -8.764
Raw formation energy (eV per atom): -2.977
Mass density (g/cm³): 5.01

---

Entry 2:
Pm6Nd3Tl | PBE-GGA | relaxed

abc: 11.141 11.141 6.311
angles: 90.00 90.00 119.96
Atoms (fractional coordinates):
Pm 0.049 0.468 0.077
Pm 0.062 0.938 0.500
Pm 0.276 0.724 0.766
Pm 0.290 0.386 0.894
Pm 0.386 0.290 0.394
Pm 0.468 0.049 0.577
Pm 0.532 0.951 0.077
Pm 0.614 0.710 0.894
Pm 0.710 0.614 0.394
Pm 0.724 0.276 0.266
Pm 0.938 0.062 0.000
Pm 0.951 0.532 0.577
Nd 0.055 0.270 0.489
Nd 0.270 0.055 0.989
Nd 0.392 0.608 0.373
Nd 0.608 0.392 0.873
Nd 0.730 0.945 0.489
Nd 0.945 0.730 0.989
Tl 0.219 0.781 0.281
Tl 0.781 0.219 0.781

Output
Energy above the most stable polymorph in this dataset (eV per atom): 0.013
D(E_F) (states/eV per cell): 33.460
Final energy (eV/atom): -4.500
E_form (eV/atom): 0.02
Mass density (g/cm³): 7.37

---

Entry 3:
BaTl2Zn | PBE-GGA | relaxed

abc: 4.295 6.070 9.812
angles: 90.00 90.00 90.00
Atoms (fractional coordinates):
Ba 0.000 0.000 0.000
Ba 0.500 0.500 0.500
Tl 0.000 0.500 0.207
Tl 0.000 0.500 0.793
Tl 0.500 0.000 0.293
Tl 0.500 0.000 0.707
Zn 0.000 0.000 0.500
Zn 0.500 0.500 0.000

Output
D(E_F) (states/eV per cell): 3.809
Final energy (eV/atom): -2.132
E_form (eV/atom): -0.15
Mass density (g/cm³): 7.94

---

Entry 4:
Be2TlCuI | PBE-GGA | relaxed

abc: 4.512 4.512 6.679
angles: 90.00 90.00 90.00
Atoms (fractional coordinates):
Be 0.000 0.500 0.000
Be 0.500 0.000 0.000
Tl 0.000 0.000 0.000
Cu 0.500 0.500 0.500
I 0.000 0.000 0.500

Output
D(E_F) (states/eV per cell): 2.014
Final energy (eV/atom): -2.027
Raw formation energy (eV per atom): 1.066
Mass density (g/cm³): 5.04